No. 1
Na4MgFeP3O12: relaxed, GGA-PBEsol.

It has space group R3c (No. 161, hexagonal axes), with a = 8.9196 Å, b = 8.9196 Å, c = 21.2079 Å, α = 90.00°, β = 90.00° and γ = 120.00°. The inequivalent atoms are Na at (0.0000, 0.0000, 0.0000), Na at (0.0324, 0.3361, 0.0827), Mg at (0.0000, 0.0000, 0.3543), Fe at (0.0000, 0.0000, 0.1502), P at (0.0029, 0.2982, 0.2525), O at (0.0145, 0.1894, 0.9177), O at (0.0165, 0.2030, 0.1926), O at (0.1360, 0.4640, 0.9782) and O at (0.1688, 0.4810, 0.2507).

The spin magnetization is 0.238 μB/atom. The density is 3116 kg/m³. The calculation puts the raw formation energy at -2213 meV/atom. Its total energy is -858.7 eV/cell.

No. 2
NiRhAu2: relaxed, GGA-PBEsol.

It has space group P4mm (No. 99), with a = 2.7688 Å, b = 2.7688 Å, c = 7.5906 Å, α = 90.00°, β = 90.00° and γ = 90.00°. The inequivalent atoms are Ni at (0.0000, 0.0000, 0.0000), Rh at (0.5000, 0.5000, 0.2054), Au at (0.0000, 0.0000, 0.4733) and Au at (0.5000, 0.5000, 0.7609).

The spin magnetization is 0.363 μB/atom. The calculation puts the density of states at the Fermi level at 0.867 states/eV/atom. For the energy of formation, the calculation gives 0.090 eV/atom. The calculation puts the relative energy among the computed polymorphs at 0 meV/atom. The density is 15853 kg/m³. Its total energy is -21.8 eV/cell.

No. 3
AlPtBr2: relaxed, GGA-PBEsol.

It has space group Cm (No. 8), with a = 6.8698 Å, b = 3.1310 Å, c = 8.8552 Å, α = 90.00°, β = 106.30° and γ = 90.00°. The inequivalent atoms are Al at (0.0000, 0.0000, 0.0000), Pt at (0.2664, 0.5000, 0.1633), Br at (0.0328, 0.5000, 0.3761) and Br at (0.3807, 0.0000, 0.7793).

The spin magnetization is 0.000 μB/atom. The calculation puts the density of states at the Fermi level at 0.362 states/eV/atom. The calculation puts the relative energy among the computed polymorphs at 0 meV/atom. The density is 6937 kg/m³. The calculation puts the raw formation energy at -469 meV/atom. Its total energy is -33.3 eV/cell.

No. 4
Mg2BN2Cl: relaxed, GGA-PBEsol.

It has space group Pbca (No. 61), with a = 6.5878 Å, b = 9.7820 Å, c = 10.5669 Å, α = 90.00°, β = 90.00° and γ = 90.00°. The inequivalent atoms are Mg at (0.0575, 0.2495, 0.1921), Mg at (0.1995, 0.0489, 0.4430), B at (0.1429, 0.5393, 0.1986), N at (0.0691, 0.0571, 0.6219), N at (0.2065, 0.6412, 0.2740) and Cl at (0.0615, 0.1579, 0.9585).

The spin magnetization is 0.000 μB/atom. The calculation puts the density of states at the Fermi level at 0.000 states/eV/atom. The density is 2397 kg/m³. The calculation puts the raw formation energy at -1223 meV/atom. Its total energy is -294.8 eV/cell.

No. 5
CaZrIn2: relaxed, GGA-PBEsol.

It has space group P4/mmm (No. 123), with a = 3.2385 Å, b = 3.2385 Å, c = 8.8997 Å, α = 90.00°, β = 90.00° and γ = 90.00°. The inequivalent atoms are Ca at (0.0000, 0.0000, 0.0000), Zr at (0.0000, 0.0000, 0.5000) and In at (0.5000, 0.5000, 0.2644).

The spin magnetization is 0.000 μB/atom. The calculation puts the density of states at the Fermi level at 0.534 states/eV/atom. For the energy of formation, the calculation gives -0.407 eV/atom. The density is 6421 kg/m³. Its total energy is -18.8 eV/cell.

No. 6
ZrTe2Pt: relaxed, GGA-PBEsol.

It has space group Fm-3m (No. 225), with a = 6.9590 Å, b = 6.9590 Å, c = 6.9590 Å, α = 90.00°, β = 90.00° and γ = 90.00°. The inequivalent atoms are Zr at (0.0000, 0.0000, 0.0000), Te at (0.2500, 0.2500, 0.2500) and Pt at (0.0000, 0.0000, 0.5000).

The spin magnetization is 0.000 μB/atom. The calculation puts the density of states at the Fermi level at 0.570 states/eV/atom. The calculation puts the relative energy among the computed polymorphs at 260 meV/atom. The density is 10673 kg/m³. The calculation puts the raw formation energy at -275 meV/atom. Its total energy is -96.8 eV/cell.

No. 7
RbScOF2: relaxed, GGA-PBEsol.

It has space group P4/mmm (No. 123), with a = 4.2586 Å, b = 4.2586 Å, c = 4.0016 Å, α = 90.00°, β = 90.00° and γ = 90.00°. The inequivalent atoms are Rb at (0.0000, 0.0000, 0.0000), Sc at (0.5000, 0.5000, 0.5000), O at (0.5000, 0.5000, 0.0000) and F at (0.0000, 0.5000, 0.5000).

The spin magnetization is 0.000 μB/atom. The calculation puts the density of states at the Fermi level at 0.000 states/eV/atom. The calculation puts the relative energy among the computed polymorphs at 0 meV/atom. The density is 4220 kg/m³. The calculation puts the raw formation energy at -3276 meV/atom. Its total energy is -33.1 eV/cell.

No. 8
TaPbW3: relaxed, GGA-PBEsol.

It has space group Pm-3m (No. 221), with a = 4.8170 Å, b = 4.8170 Å, c = 4.8170 Å, α = 90.00°, β = 90.00° and γ = 90.00°. The inequivalent atoms are Ta at (0.0000, 0.0000, 0.0000), Pb at (0.5000, 0.5000, 0.5000) and W at (0.0000, 0.0000, 0.5000).

The spin magnetization is 0.000 μB/atom. The calculation puts the density of states at the Fermi level at 1.235 states/eV/atom. For the energy of formation, the calculation gives 2.299 eV/atom. The density is 13960 kg/m³. Its total energy is -46.5 eV/cell.